Computed, not measured: a geometry-optimized Hf4InSnN2 structure at the PBE-GGA level of DFT.

Properties
The calculation puts the final energy at -0.65646 Ry per atom. The total magnetic moment is 0.0 Bohr magnetons per cell. For the calculated density, the calculation gives 12.079 g/cm³.

Cell: 3.2437 3.2437 14.7172 Å, 90.00 90.00 120.00°
Closest atoms and distances in Å follow each position.
Atoms (fractional coordinates):
Hf: 0.3333 0.6667 0.1669  3 N 2.24
Hf: 0.0000 0.0000 0.3371  3 N 2.27
Hf: 0.3333 0.6667 0.8331  3 N 2.24
In: 0.0000 0.0000 0.0000  6 Hf 3.09, 6 In 3.24
N: 0.6667 0.3333 0.2504  6 Hf 2.24-2.27
Hf: 0.0000 0.0000 0.6629  3 N 2.27
N: 0.6667 0.3333 0.7496  6 Hf 2.24-2.27
Sn: 0.3333 0.6667 0.5000  6 Hf 3.04, 6 Sn 3.24



Computed, not measured: a geometry-optimized ZnCuBOs structure at the PBE-GGA level of DFT.

Properties
The polymorph energy (0 for the lowest one) is 0.00 eV per formula unit. The calculation puts the final energy at -0.37942 Ry per atom. The total magnetic moment is 0.0 Bohr magnetons per cell. For the calculated density, the calculation gives 11.869 g/cm³.

Cell: 4.0267 4.0267 4.0267 Å, 60.00 60.00 60.00°
Closest atoms and distances in Å follow each position.
Atoms (fractional coordinates):
Zn: 0.5000 0.5000 0.5000  4 Cu 2.47, 4 Os 2.47
B: 0.0000 0.0000 0.0000  4 Os 2.47, 4 Cu 2.47
Cu: 0.7500 0.7500 0.7500  4 Zn 2.47, 4 B 2.47
Os: 0.2500 0.2500 0.2500  4 B 2.47, 4 Zn 2.47



Computed, not measured: a geometry-optimized KAg3GeSe4 structure at the PBE-GGA level of DFT.

Properties
The calculation puts the final energy at -0.25371 Ry per atom. For the calculated density, the calculation gives 4.284 g/cm³.

Cell: 6.6279 6.6279 6.6279 Å, 90.00 90.00 90.00°
Closest atoms and distances in Å follow each position.
Atoms (fractional coordinates):
Ag: 0.5000 0.0000 0.0000  4 Se 2.75
Se: 0.7909 0.7909 0.7909  1 Ge 2.40
K: 0.5000 0.5000 0.5000  4 Se 3.34
Se: 0.2091 0.7909 0.2091  1 Ge 2.40
Ag: 0.0000 0.5000 0.0000  4 Se 2.75
Ag: 0.0000 0.0000 0.5000  4 Se 2.75
Se: 0.7909 0.2091 0.2091  1 Ge 2.40
Ge: 0.0000 0.0000 0.0000  4 Se 2.40
Se: 0.2091 0.2091 0.7909  1 Ge 2.40



Computed, not measured: a geometry-optimized HfTlTe3Au structure at the PBE-GGA level of DFT.

Properties
The polymorph energy (0 for the lowest one) is 0.02 eV per formula unit. The calculation puts the final energy at -0.34482 Ry per atom. The total magnetic moment is 0.0 Bohr magnetons per cell. For the calculated density, the calculation gives 9.021 g/cm³.

Cell: 15.3260 4.1564 11.1262 Å, 90.00 90.00 90.00°
Closest atoms and distances in Å follow each position.
Atoms (fractional coordinates):
Hf: 0.9860 0.2500 0.8150  6 Te 2.82-2.99
Au: 0.9867 0.7500 0.5989  4 Te 2.76-2.97, 2 Au 3.05
Te: 0.1443 0.2500 0.2315  1 Au 2.76, 2 Hf 2.93
Te: 0.6443 0.2500 0.2685  1 Au 2.76, 2 Hf 2.93
Te: 0.5894 0.7500 0.5629  3 Hf 2.95-2.99
Tl: 0.7647 0.2500 0.5535  7 Te 3.40-3.67
Te: 0.8557 0.7500 0.7685  1 Au 2.76, 2 Hf 2.93
Tl: 0.2353 0.7500 0.4465  7 Te 3.40-3.67
Hf: 0.4860 0.2500 0.6850  6 Te 2.82-2.99
Te: 0.8879 0.7500 0.3691  1 Hf 2.82, 3 Au 2.85-2.97
Tl: 0.7353 0.7500 0.0535  7 Te 3.40-3.67
Te: 0.3557 0.7500 0.7315  1 Au 2.76, 2 Hf 2.93
Te: 0.9106 0.2500 0.0629  3 Hf 2.95-2.99
Tl: 0.2647 0.2500 0.9465  7 Te 3.40-3.67
Te: 0.4106 0.2500 0.4371  3 Hf 2.95-2.99
Au: 0.0133 0.2500 0.4011  4 Te 2.76-2.97, 2 Au 3.05
Hf: 0.5140 0.7500 0.3150  6 Te 2.82-2.99
Te: 0.3879 0.7500 0.1309  1 Hf 2.82, 3 Au 2.85-2.97
Te: 0.1121 0.2500 0.6309  1 Hf 2.82, 3 Au 2.85-2.97
Au: 0.5133 0.2500 0.0989  4 Te 2.76-2.97, 2 Au 3.05
Hf: 0.0140 0.7500 0.1850  6 Te 2.82-2.99
Te: 0.6121 0.2500 0.8691  1 Hf 2.82, 3 Au 2.85-2.97
Te: 0.0894 0.7500 0.9371  3 Hf 2.95-2.99
Au: 0.4867 0.7500 0.9011  4 Te 2.76-2.97, 2 Au 3.05



Computed, not measured: a geometry-optimized HfScFe2 structure at the PBE-GGA level of DFT.

Properties
The value obtained for the formation energy is 136 meV/atom. The calculation puts the final energy at -0.59454 Ry per atom. The total magnetic moment is 3.5 Bohr magnetons per cell. For the calculated density, the calculation gives 8.957 g/cm³.

Cell: 4.4457 4.4457 4.4457 Å, 60.00 60.00 60.00°
Closest atoms and distances in Å follow each position.
Atoms (fractional coordinates):
Sc: 0.0000 0.0000 0.0000  4 Hf 2.72, 4 Fe 2.72
Fe: 0.5000 0.5000 0.5000  4 Hf 2.72, 4 Fe 2.72
Hf: 0.2500 0.2500 0.2500  4 Fe 2.72, 4 Sc 2.72
Fe: 0.7500 0.7500 0.7500  4 Fe 2.72, 4 Sc 2.72



Computed, not measured: a geometry-optimized CoSe2 structure at the PBE-GGA level of DFT.

Properties
The calculation puts the final energy at -0.25508 Ry per atom. The total magnetic moment is 4.2 Bohr magnetons per cell. For the calculated density, the calculation gives 6.069 g/cm³.

Cell: 5.5160 5.5160 5.5160 Å, 60.00 60.00 60.00°
Closest atoms and distances in Å follow each position.
Atoms (fractional coordinates):
Co: 0.2500 0.2500 0.2500  12 Se 3.23, 4 Co 3.38
Se: 0.6250 0.6250 0.6250  6 Se 2.76
Co: 0.0000 0.0000 0.0000  12 Se 3.23, 4 Co 3.38
Se: 0.1250 0.6250 0.6250  6 Se 2.76
Se: 0.6250 0.6250 0.1250  6 Se 2.76
Se: 0.6250 0.1250 0.6250  6 Se 2.76